DFT (PBEsol) results for a relaxed structure of SmGaCo.

Cell: 4.1580 4.9366 5.8708 Å, 102.52 110.74 90.00°
Closest atoms and distances in Å follow each position.
Fractional coordinates of all 6 atoms:
Co 0.2050 0.8707 0.4100  3 Ga 2.40-2.43, 2 Co 2.52, 2 Sm 2.57-2.68
Co 0.7950 0.1293 0.5900  3 Ga 2.40-2.43, 2 Co 2.52, 2 Sm 2.57-2.68
Ga 0.5936 0.7974 0.1873  3 Co 2.40-2.43
Ga 0.4064 0.2026 0.8127  3 Co 2.40-2.43
Sm 0.8778 0.6841 0.7556  2 Co 2.57-2.68
Sm 0.1222 0.3159 0.2444  2 Co 2.57-2.68

Results
Formation energy from the elements in eV per atom: -0.462

---

DFT (PBEsol) results for a relaxed structure of SrSn2AsIr.

Cell: 5.0993 5.0993 5.5158 Å, 90.00 90.00 90.00°
Closest atoms and distances in Å follow each position.
Fractional coordinates of all 5 atoms:
Sr 0.0000 0.0000 0.5000  2 As 2.76
As 0.0000 0.0000 0.0000  4 Sn 2.55, 2 Sr 2.76
Ir 0.5000 0.5000 0.5000  4 Sr 3.61, 8 Sn 3.76
Sn 0.0000 0.5000 0.0000  2 As 2.55
Sn 0.5000 0.0000 0.0000  2 As 2.55

Results
Formation energy from the elements in eV per atom: 0.821

---

DFT (PBEsol) results for a relaxed structure of OsSe.

Cell: 2.9668 2.9668 4.3009 Å, 69.82 69.82 60.00°
Closest atoms and distances in Å follow each position.
Fractional coordinates of all 2 atoms:
Os 0.0000 0.0000 0.0000  6 Se 2.61
Se 0.5000 0.5000 0.5000  6 Os 2.61

Results
Energy relative to the elements, uncorrected in eV/atom: 0.57